A plane-wave DFT calculation with PBE was carried out for a relaxed structure of CdTe2Pb. Values from VASP.

Geometry as Quantum ESPRESSO input:
```
&SYSTEM
  ibrav = 0, nat = 4, ntyp = 3
/
ATOMIC_SPECIES
Pb 207.20 Pb.upf
Te 127.60 Te.upf
Cd 112.41 Cd.upf
CELL_PARAMETERS angstrom
-4.976 -0.781 2.188
-3.094 4.317 1.396
-4.499 1.209 -2.908
ATOMIC_POSITIONS crystal
Pb 0.750 0.750 0.750
Te 0.500 0.500 0.500
Te 0.250 0.250 0.250
Cd 0.000 0.000 0.000
```

Summary:
Crystal system: cubic
Calculated total energy: -2.63 eV/atom
Theoretical density: 8.1 g/cm3

A plane-wave DFT calculation with PBE was carried out for a relaxed structure of ReN2. Values from VASP.

Geometry as Quantum ESPRESSO input:
```
&SYSTEM
  ibrav = 0, nat = 3, ntyp = 2
/
ATOMIC_SPECIES
N 14.01 N.upf
Re 186.21 Re.upf
CELL_PARAMETERS angstrom
0.000 2.441 2.441
2.441 0.000 2.441
2.441 2.441 0.000
ATOMIC_POSITIONS crystal
N 0.250 0.250 0.250
N 0.750 0.750 0.750
Re 0.000 0.000 0.000
```

Summary:
Crystal system: cubic
Calculated total energy: -8.90 eV/atom
Theoretical density: 12.2 g/cm3